The following is a PBE calculation of crystalline YV2Pd2 at its relaxed geometry, from Alexandria via LeMat-Bulk.

Summary:
DFT formation energy, eV/atom: -0.204
Theoretical density, Mg/m³: 7.53
SG: I4/mmm (139)
ΔE to the lowest computed polymorph, eV per formula unit: 0.00

Unit cell a=3.6051 b=3.6051 c=7.3042 alpha=75.71 beta=75.71 gamma=90.00
Positions (direct):
1 Y 0.0000 0.0000 0.0000
2 Pd 0.6039 0.6039 0.7922
3 Pd 0.3961 0.3961 0.2078
4 V 0.2500 0.7500 0.5000
5 V 0.7500 0.2500 0.5000

***

The following is a PBE calculation of crystalline YV2Pd at its relaxed geometry, from Alexandria via LeMat-Bulk.

Summary:
DFT formation energy, eV/atom: 0.362
Theoretical density, Mg/m³: 7.37
SG: Fm-3m (225)
ΔE to the lowest computed polymorph, eV per formula unit: 0.00

Unit cell a=4.5586 b=4.5586 c=4.5586 alpha=60.00 beta=60.00 gamma=60.00
Positions (direct):
1 V 0.2500 0.2500 0.2500
2 V 0.7500 0.7500 0.7500
3 Y 0.0000 0.0000 0.0000
4 Pd 0.5000 0.5000 0.5000

***

The following is a PBE calculation of crystalline Y3VPd at its relaxed geometry, from Alexandria via LeMat-Bulk.

Summary:
DFT formation energy, eV/atom: 0.280
Theoretical density, Mg/m³: 4.50
SG: Pm-3m (221)
ΔE to the lowest computed polymorph, eV per formula unit: 0.00

Unit cell a=5.3875 b=5.3875 c=5.3875 alpha=90.00 beta=90.00 gamma=90.00
Site moments in Bohr magnetons follow the coordinates.
Positions (direct):
1 Y 0.5000 0.0000 0.0000  0.08
2 Y 0.0000 0.0000 0.5000  0.08
3 Y 0.0000 0.5000 0.0000  0.08
4 Pd 0.0000 0.0000 0.0000  0.05
5 V 0.5000 0.5000 0.5000  2.95

***

The following is a PBE calculation of crystalline YV2Pd2 at its relaxed geometry, from Alexandria via LeMat-Bulk.

Summary:
DFT formation energy, eV/atom: -0.091
Theoretical density, Mg/m³: 7.83
SG: P4/mbm (127)
ΔE to the lowest computed polymorph, eV per formula unit: 0.56

Unit cell a=7.7407 b=7.7407 c=2.8555 alpha=90.00 beta=90.00 gamma=90.00
Site moments in Bohr magnetons follow the coordinates.
Positions (direct):
1 Y 0.0000 0.0000 0.0000  0.08
2 Y 0.5000 0.5000 0.0000  0.08
3 Pd 0.8116 0.3116 0.5000  0.03
4 Pd 0.1884 0.6884 0.5000  0.03
5 Pd 0.3116 0.1884 0.5000  0.03
6 Pd 0.6884 0.8116 0.5000  0.03
7 V 0.1021 0.3979 0.0000  0.21
8 V 0.8979 0.6021 0.0000  0.21
9 V 0.3979 0.8979 0.0000  0.21
10 V 0.6021 0.1021 0.0000  0.21